DFT (PBE) results for an optimized crystal structure of YCuSn3.

## Properties
Formation energy from the elements (eV per formula unit): 0.2

a b c (Å): 5.1069 5.1069 5.1069
angles (deg): 90.00 90.00 90.00
With the nearest neighbours (Å) after each atom.
Positions (direct):
Y: 0.5000 0.5000 0.5000  12 Sn 3.61
Cu: 0.0000 0.0000 0.0000  6 Sn 2.55
Sn: 0.0000 0.0000 0.5000  2 Cu 2.55
Sn: 0.0000 0.5000 0.0000  2 Cu 2.55
Sn: 0.5000 0.0000 0.0000  2 Cu 2.55